An optimized crystal structure of CaP2WAu. Source: Alexandria, functional GGA-PBE.

Cell lengths 4.6746, 4.6746, 5.2344 Å; angles 90.00, 90.00, 90.00 degrees
With the nearest neighbours (Å) after each atom.
Space group P4/mmm (No. 123)
Symmetry-distinct sites (fractional):
Ca  0.0000  0.0000  0.0000  4 Au 3.31, 8 P 3.51
P  0.0000  0.5000  0.5000  2 W 2.34
W  0.5000  0.5000  0.5000  4 P 2.34, 2 Au 2.62
Au  0.5000  0.5000  0.0000  2 W 2.62

Results
E_form   -150 meV/atom
Final energy   -5.960 eV/atom